Entry from the Alexandria database: FeOsN2F after structural relaxation (PBE+U).

Computed properties:
density of states at the Fermi level: 3.13 states/eV/f.u.
VASP energy: -33.4 eV for the cell shown

The structure in extended XYZ format:
```
5
Lattice="3.8316 0.0000 0.0000 0.0000 3.8316 0.0000 0.0000 0.0000 4.3360" Properties=species:S:1:pos:R:3 pbc="T T T"
Fe 0.0000 0.0000 0.0000
Os 1.9158 1.9158 2.1680
N 0.0000 1.9158 2.1680
N 1.9158 0.0000 2.1680
F 1.9158 1.9158 0.0000
```